# 1
# MgHOF | Alexandria via LeMat-Bulk | PBEsol | relaxed
# * total magnetization: 0.00 μB per formula unit
# * uncorrected energy: -87.88 eV per cell
data_MgHOF
_chemical_formula_sum 'Mg4 H4 O4 F4'
_cell_length_a 3.097
_cell_length_b 4.580
_cell_length_c 10.109
_cell_angle_alpha 90.00
_cell_angle_beta 90.00
_cell_angle_gamma 90.00
_symmetry_space_group_name_H-M 'P 1'
_symmetry_Int_Tables_number 1
_symmetry_space_group_name_Hall 'P 1'
loop_
_atom_site_label
_atom_site_fract_x
_atom_site_fract_y
_atom_site_fract_z
_atom_site_occupancy
O1 0.750 0.718 0.050 1
F1 0.250 0.761 0.796 1
Mg1 0.250 0.487 0.131 1
F2 0.250 0.739 0.296 1
Mg2 0.750 0.513 0.869 1
H1 0.750 0.573 0.570 1
F3 0.750 0.261 0.704 1
H2 0.250 0.427 0.430 1
F4 0.750 0.239 0.204 1
H3 0.750 0.927 0.070 1
O2 0.250 0.218 0.450 1
O3 0.250 0.282 0.950 1
Mg3 0.250 0.013 0.631 1
H4 0.250 0.073 0.930 1
O4 0.750 0.782 0.550 1
Mg4 0.750 0.987 0.369 1


# 2
# Sr3MoCl | Alexandria via LeMat-Bulk | PBEsol | relaxed
# * total magnetization: 0.00 μB per formula unit
# * E_form (uncorrected): 411.7 meV per atom
# * uncorrected energy: -17.24 eV per cell
data_Sr3MoCl
_chemical_formula_sum 'Sr3 Mo1 Cl1'
_cell_length_a 5.654
_cell_length_b 5.654
_cell_length_c 5.654
_cell_angle_alpha 90.00
_cell_angle_beta 90.00
_cell_angle_gamma 90.00
_symmetry_space_group_name_H-M 'P 1'
_symmetry_Int_Tables_number 1
_symmetry_space_group_name_Hall 'P 1'
loop_
_atom_site_label
_atom_site_fract_x
_atom_site_fract_y
_atom_site_fract_z
_atom_site_occupancy
Mo1 0.000 0.000 0.000 1
Sr1 0.500 0.000 0.000 1
Sr2 0.000 0.000 0.500 1
Cl1 0.500 0.500 0.500 1
Sr3 0.000 0.500 0.000 1


# 3
# Sc2TlTcRh | Alexandria via LeMat-Bulk | PBEsol | relaxed
# * total magnetization: 2.27 μB per formula unit
# * uncorrected energy: -32.31 eV per cell
data_Sc2TlTcRh
_chemical_formula_sum 'Sc2 Tl1 Tc1 Rh1'
_cell_length_a 4.760
_cell_length_b 4.760
_cell_length_c 5.016
_cell_angle_alpha 90.00
_cell_angle_beta 90.00
_cell_angle_gamma 90.00
_symmetry_space_group_name_H-M 'P 1'
_symmetry_Int_Tables_number 1
_symmetry_space_group_name_Hall 'P 1'
loop_
_atom_site_label
_atom_site_fract_x
_atom_site_fract_y
_atom_site_fract_z
_atom_site_occupancy
Tl1 0.000 0.000 0.500 1
Sc1 0.500 0.000 0.000 1
Tc1 0.500 0.500 0.500 1
Sc2 0.000 0.500 0.000 1
Rh1 0.000 0.000 0.000 1


# 4
# CsK2Au2 | Alexandria via LeMat-Bulk | PBEsol | relaxed
# * energy above the lowest structure with this stoichiometry: 0.00 kcal/mol of atoms
# * total magnetization: 0.00 μB per formula unit
# * uncorrected energy: -11.75 eV per cell
data_CsK2Au2
_chemical_formula_sum 'Cs1 K2 Au2'
_cell_length_a 5.140
_cell_length_b 5.140
_cell_length_c 7.866
_cell_angle_alpha 109.07
_cell_angle_beta 109.07
_cell_angle_gamma 90.00
_symmetry_space_group_name_H-M 'P 1'
_symmetry_Int_Tables_number 1
_symmetry_space_group_name_Hall 'P 1'
loop_
_atom_site_label
_atom_site_fract_x
_atom_site_fract_y
_atom_site_fract_z
_atom_site_occupancy
Cs1 0.000 0.000 0.000 1
Au1 0.403 0.403 0.805 1
K1 0.250 0.750 0.500 1
Au2 0.597 0.597 0.195 1
K2 0.750 0.250 0.500 1


# 5
# SrV4Ag2O12 | Alexandria via LeMat-Bulk | PBEsol | relaxed
# * total magnetization: 0.00 μB per formula unit
# * E_form (uncorrected): -2113.8 meV per atom
# * uncorrected energy: -300.31 eV per cell
data_SrV4Ag2O12
_chemical_formula_sum 'Sr2 V8 Ag4 O24'
_cell_length_a 4.929
_cell_length_b 10.456
_cell_length_c 10.456
_cell_angle_alpha 90.00
_cell_angle_beta 90.00
_cell_angle_gamma 90.00
_symmetry_space_group_name_H-M 'P 1'
_symmetry_Int_Tables_number 1
_symmetry_space_group_name_Hall 'P 1'
loop_
_atom_site_label
_atom_site_fract_x
_atom_site_fract_y
_atom_site_fract_z
_atom_site_occupancy
Ag1 0.500 0.750 0.250 1
Ag2 0.500 0.250 0.250 1
V1 0.000 0.000 0.717 1
Sr1 0.500 0.500 0.500 1
V2 0.000 0.783 0.500 1
V3 0.000 0.500 0.783 1
O1 0.237 0.197 0.074 1
V4 0.000 0.500 0.217 1
O2 0.763 0.426 0.697 1
Ag3 0.500 0.750 0.750 1
O3 0.237 0.074 0.803 1
O4 0.763 0.303 0.426 1
O5 0.840 0.616 0.884 1
V5 0.000 0.217 0.500 1
V6 0.000 0.717 0.000 1
O6 0.840 0.884 0.384 1
O7 0.840 0.384 0.116 1
O8 0.763 0.197 0.926 1
Ag4 0.500 0.250 0.750 1
O9 0.237 0.574 0.697 1
O10 0.763 0.926 0.803 1
O11 0.237 0.803 0.926 1
O12 0.840 0.116 0.616 1
O13 0.763 0.803 0.074 1
O14 0.763 0.697 0.574 1
O15 0.160 0.384 0.884 1
O16 0.160 0.616 0.116 1
V7 0.000 0.000 0.283 1
O17 0.160 0.116 0.384 1
O18 0.237 0.426 0.303 1
Sr2 0.500 0.000 0.000 1
O19 0.237 0.697 0.426 1
O20 0.237 0.926 0.197 1
O21 0.160 0.884 0.616 1
O22 0.237 0.303 0.574 1
O23 0.763 0.574 0.303 1
O24 0.763 0.074 0.197 1
V8 0.000 0.283 0.000 1


# 6
# LaY2Tl | Alexandria via LeMat-Bulk | PBEsol | relaxed
# * energy above the lowest structure with this stoichiometry: 1.09 kcal/mol of atoms
# * total magnetization: 0.00 μB per formula unit
# * uncorrected energy: -22.37 eV per cell
data_LaY2Tl
_chemical_formula_sum 'La1 Y2 Tl1'
_cell_length_a 3.564
_cell_length_b 3.564
_cell_length_c 9.468
_cell_angle_alpha 90.00
_cell_angle_beta 90.00
_cell_angle_gamma 90.00
_symmetry_space_group_name_H-M 'P 1'
_symmetry_Int_Tables_number 1
_symmetry_space_group_name_Hall 'P 1'
loop_
_atom_site_label
_atom_site_fract_x
_atom_site_fract_y
_atom_site_fract_z
_atom_site_occupancy
Y1 0.500 0.500 0.237 1
La1 0.000 0.000 0.522 1
Tl1 0.500 0.500 0.763 1
Y2 0.000 0.000 0.978 1